No. 1
The following is a PBE-GGA calculation of a relaxed Ge6PdPt8 crystal, from Alexandria.

Structure (POSCAR):
```
Ge6PdPt8
1.0
3.566 2.059 5.788
-3.566 2.059 5.788
0.000 -4.118 5.788
Ge Pd Pt
6 1 8
direct
0.154 0.329 0.710
0.290 0.846 0.671
0.329 0.710 0.154
0.671 0.290 0.846
0.710 0.154 0.329
0.846 0.671 0.290
0.500 0.500 0.500
0.016 0.254 0.487
0.123 0.123 0.123
0.254 0.487 0.016
0.487 0.016 0.254
0.513 0.984 0.746
0.746 0.513 0.984
0.877 0.877 0.877
0.984 0.746 0.513
```

Computed properties:
Calculated volume in Å³ per atom: 17.0
Density in kg/m3: 13694
M_tot in μB/f.u.: 0.00
Formation energy from the elements in eV/f.u.: -5.2

---

No. 2
The following is a PBE-GGA calculation of a relaxed GePd6Pt3 crystal, from Alexandria.

Structure (POSCAR):
```
GePd6Pt3
1.0
4.865 2.809 3.914
-4.865 2.809 3.914
0.000 -5.617 3.914
Ge Pd Pt
2 12 6
direct
0.000 0.000 0.000
0.500 0.500 0.500
0.123 0.448 0.346
0.241 0.750 0.620
0.250 0.380 0.759
0.346 0.123 0.448
0.380 0.759 0.250
0.448 0.346 0.123
0.552 0.654 0.877
0.620 0.241 0.750
0.654 0.877 0.552
0.750 0.620 0.241
0.759 0.250 0.380
0.877 0.552 0.654
0.009 0.895 0.339
0.105 0.661 0.991
0.339 0.009 0.895
0.661 0.991 0.105
0.895 0.339 0.009
0.991 0.105 0.661
```

Computed properties:
Calculated volume in Å³ per atom: 16.0
Density in kg/m3: 13418
M_tot in μB/f.u.: 0.00
Formation energy from the elements in eV/f.u.: -0.8
Energy above the lowest structure with this stoichiometry in eV/atom: 0.082

---

No. 3
The following is a PBE-GGA calculation of a relaxed Ge2PdPt2 crystal, from Alexandria.

Structure (POSCAR):
```
Ge2PdPt2
1.0
3.872 0.000 0.000
0.000 3.872 0.000
0.000 0.000 11.603
Ge Pd Pt
4 2 4
direct
0.000 0.500 0.250
0.000 0.500 0.750
0.500 0.000 0.250
0.500 0.000 0.750
0.000 0.000 0.000
0.500 0.500 0.500
0.000 0.000 0.387
0.000 0.000 0.613
0.500 0.500 0.113
0.500 0.500 0.887
```

Computed properties:
Calculated volume in Å³ per atom: 17.4
Density in kg/m3: 12253
M_tot in μB/f.u.: 0.00
Formation energy from the elements in eV/f.u.: -0.9
Energy above the lowest structure with this stoichiometry in eV/atom: 0.132

---

No. 4
The following is a PBE-GGA calculation of a relaxed Ge2PdPt6 crystal, from Alexandria.

Structure (POSCAR):
```
Ge2PdPt6
1.0
2.935 0.000 0.000
0.000 6.701 3.649
0.000 -6.701 3.649
Ge Pd Pt
2 1 6
direct
0.000 0.160 0.840
0.000 0.840 0.160
0.500 0.300 0.300
0.000 0.169 0.512
0.000 0.512 0.169
0.000 0.610 0.610
0.500 0.514 0.854
0.500 0.854 0.514
0.500 0.935 0.935
```

Computed properties:
Calculated volume in Å³ per atom: 15.9
Density in kg/m3: 16453
M_tot in μB/f.u.: 0.00
Formation energy from the elements in eV/f.u.: -1.6

---

No. 5
The following is a PBE-GGA calculation of a relaxed GePd6Pt crystal, from Alexandria.

Structure (POSCAR):
```
GePd6Pt
1.0
5.039 0.000 0.000
-0.393 5.039 0.000
-0.394 -0.414 5.022
Ge Pd Pt
1 6 1
direct
0.000 0.000 0.000
0.037 0.757 0.574
0.243 0.426 0.961
0.428 0.962 0.243
0.572 0.038 0.757
0.757 0.574 0.039
0.963 0.243 0.426
0.500 0.500 0.500
```

Computed properties:
Calculated volume in Å³ per atom: 15.9
Density in kg/m3: 11802
M_tot in μB/f.u.: 0.00
Formation energy from the elements in eV/f.u.: -1.0
Energy above the lowest structure with this stoichiometry in eV/atom: 0.071

---

No. 6
The following is a PBE-GGA calculation of a relaxed GePd3Pt2 crystal, from Alexandria.

Structure (POSCAR):
```
GePd3Pt2
1.0
2.908 0.000 0.000
0.000 13.618 0.000
0.000 0.000 4.692
Ge Pd Pt
2 6 4
direct
0.250 0.250 0.169
0.750 0.750 0.831
0.250 0.079 0.589
0.250 0.421 0.589
0.250 0.750 0.360
0.750 0.250 0.640
0.750 0.579 0.411
0.750 0.921 0.411
0.250 0.598 0.913
0.250 0.902 0.913
0.750 0.098 0.087
0.750 0.402 0.087
```

Computed properties:
Calculated volume in Å³ per atom: 15.5
Density in kg/m3: 13980
M_tot in μB/f.u.: 0.00
Formation energy from the elements in eV/f.u.: -1.2

---

No. 7
The following is a PBE-GGA calculation of a relaxed Ge2PdPt2 crystal, from Alexandria.

Structure (POSCAR):
```
Ge2PdPt2
1.0
7.122 0.000 0.000
0.000 7.122 0.000
0.000 0.000 3.165
Ge Pd Pt
4 2 4
direct
0.156 0.344 0.000
0.344 0.844 0.000
0.656 0.156 0.000
0.844 0.656 0.000
0.000 0.000 0.000
0.500 0.500 0.000
0.141 0.641 0.500
0.359 0.141 0.500
0.641 0.859 0.500
0.859 0.359 0.500
```

Computed properties:
Calculated volume in Å³ per atom: 16.1
Density in kg/m3: 13276
M_tot in μB/f.u.: 0.00
Formation energy from the elements in eV/f.u.: -1.5
Energy above the lowest structure with this stoichiometry in eV/atom: 0.021

---

No. 8
The following is a PBE-GGA calculation of a relaxed Ge2Pd6Pt crystal, from Alexandria.

Structure (POSCAR):
```
Ge2Pd6Pt
1.0
2.193 1.266 8.557
-2.193 1.266 8.557
0.000 -2.532 8.557
Ge Pd Pt
2 6 1
direct
0.099 0.099 0.099
0.901 0.901 0.901
0.195 0.195 0.195
0.302 0.302 0.302
0.416 0.416 0.416
0.584 0.584 0.584
0.698 0.698 0.698
0.805 0.805 0.805
0.000 0.000 0.000
```

Computed properties:
Calculated volume in Å³ per atom: 15.8
Density in kg/m3: 11402
M_tot in μB/f.u.: 0.00
Formation energy from the elements in eV/f.u.: -2.9

---

No. 9
The following is a PBE-GGA calculation of a relaxed GePd6Pt crystal, from Alexandria.

Structure (POSCAR):
```
GePd6Pt
1.0
7.369 0.000 0.000
0.000 8.262 0.000
0.000 0.000 4.036
Ge Pd Pt
2 12 2
direct
0.000 0.000 0.000
0.500 0.500 0.000
0.000 0.277 0.500
0.000 0.723 0.500
0.214 0.000 0.500
0.250 0.250 0.000
0.250 0.750 0.000
0.286 0.500 0.500
0.500 0.223 0.500
0.500 0.777 0.500
0.714 0.500 0.500
0.750 0.250 0.000
0.750 0.750 0.000
0.786 0.000 0.500
0.000 0.500 0.000
0.500 0.000 0.000
```

Computed properties:
Calculated volume in Å³ per atom: 15.4
Density in kg/m3: 12247
M_tot in μB/f.u.: 0.00
Formation energy from the elements in eV/f.u.: -1.6
Energy above the lowest structure with this stoichiometry in eV/atom: 0.000

---

No. 10
The following is a PBE-GGA calculation of a relaxed GePdPt3 crystal, from Alexandria.

Structure (POSCAR):
```
GePdPt3
1.0
4.848 0.000 0.000
0.000 4.848 0.000
0.000 0.000 4.848
Ge Pd Pt
1 1 3
direct
0.000 0.000 0.000
0.500 0.500 0.500
0.000 0.500 0.500
0.500 0.000 0.500
0.500 0.500 0.000
```

Computed properties:
Calculated volume in Å³ per atom: 22.8
Density in kg/m3: 11136
M_tot in μB/f.u.: 0.88
Formation energy from the elements in eV/f.u.: 6.5
Energy above the lowest structure with this stoichiometry in eV/atom: 1.515

---

No. 11
The following is a PBE-GGA calculation of a relaxed Ge2Pd2Pt crystal, from Alexandria.

Structure (POSCAR):
```
Ge2Pd2Pt
1.0
6.910 0.000 0.000
0.000 6.910 0.000
0.000 0.000 3.313
Ge Pd Pt
4 4 2
direct
0.152 0.348 0.000
0.348 0.848 0.000
0.652 0.152 0.000
0.848 0.652 0.000
0.144 0.644 0.500
0.356 0.144 0.500
0.644 0.856 0.500
0.856 0.356 0.500
0.000 0.000 0.000
0.500 0.500 0.000
```

Computed properties:
Calculated volume in Å³ per atom: 15.8
Density in kg/m3: 11616
M_tot in μB/f.u.: 0.00
Formation energy from the elements in eV/f.u.: -1.7
Energy above the lowest structure with this stoichiometry in eV/atom: 0.095

---

No. 12
The following is a PBE-GGA calculation of a relaxed GePd2Pt crystal, from Alexandria.

Structure (POSCAR):
```
GePd2Pt
1.0
3.921 0.000 0.000
0.000 3.921 0.000
0.000 0.000 3.983
Ge Pd Pt
1 2 1
direct
0.000 0.000 0.000
0.000 0.500 0.500
0.500 0.000 0.500
0.500 0.500 0.000
```

Computed properties:
Calculated volume in Å³ per atom: 15.3
Density in kg/m3: 13031
M_tot in μB/f.u.: 0.00
Formation energy from the elements in eV/f.u.: -1.4